A relaxed structure of TbMgZrZn. Source: the Alexandria database, functional PBE-GGA.

- Formation energy: -0.07 eV per atom
- Total magnetic moment: 0.00 μB per formula unit

Cell lengths 7.0902, 7.0902, 7.0902 Å; angles 90.00, 90.00, 90.00 degrees
Space group F-43m (No. 216)
Asymmetric unit:
Tb  0.0000  0.0000  0.0000 (multiplicity 4)
Mg  0.2500  0.2500  0.7500 (multiplicity 4)
Zr  0.0000  0.0000  0.5000 (multiplicity 4)
Zn  0.2500  0.2500  0.2500 (multiplicity 4)


A relaxed structure of Ho4ZnAg2. Source: the Alexandria database, functional PBE-GGA.

- Formation energy: -0.18 eV per atom
- Total magnetic moment: 0.00 μB per formula unit

Cell lengths 5.0530, 5.0530, 24.4875 Å; angles 90.00, 90.00, 120.00 degrees
Space group R-3m (No. 166, hexagonal axes)
Asymmetric unit:
Ho  0.0000  0.0000  0.1227 (multiplicity 6)
Ho  0.0000  0.0000  0.3740 (multiplicity 6)
Zn  0.0000  0.0000  0.5000 (multiplicity 3)
Ag  0.0000  0.0000  0.2485 (multiplicity 6)


A relaxed structure of PaAg3I2Cl6. Source: the Alexandria database, functional PBE-GGA.

- Uncorrected formation energy: -1063 meV per atom
- Total magnetic moment: 0.00 μB per formula unit

Cell lengths 16.0460, 8.1250, 6.8396 Å; angles 90.00, 109.75, 90.00 degrees
Space group C2/m (No. 12)
Asymmetric unit:
Pa  0.0000  0.0000  0.0000 (multiplicity 2)
Ag  0.0000  0.5000  0.5000 (multiplicity 2)
Ag  0.2500  0.2500  0.0000 (multiplicity 4)
I  0.1748  0.5000  0.7287 (multiplicity 4)
Cl  0.0948  0.2252  0.2306 (multiplicity 8)
Cl  0.1027  0.0000  0.7786 (multiplicity 4)


A relaxed structure of MgSc2BIr. Source: the Alexandria database, functional PBE-GGA.

- Formation energy: -0.49 eV per atom
- Total magnetic moment: 0.00 μB per formula unit

Cell lengths 4.7131, 4.7131, 4.0119 Å; angles 90.00, 90.00, 90.00 degrees
Space group P4/mmm (No. 123)
Asymmetric unit:
Mg  0.0000  0.0000  0.0000 (multiplicity 1)
Sc  0.0000  0.5000  0.5000 (multiplicity 2)
B  0.5000  0.5000  0.5000 (multiplicity 1)
Ir  0.5000  0.5000  0.0000 (multiplicity 1)


A relaxed structure of BaNa3Pb. Source: the Alexandria database, functional PBE-GGA.

- Formation energy: 0.78 eV per atom
- Total magnetic moment: 0.00 μB per formula unit
- Excess energy over the best structure of this formula in the dataset: 0.963 eV/atom

Cell lengths 6.3596, 6.3596, 6.3596 Å; angles 90.00, 90.00, 90.00 degrees
Space group Pm-3m (No. 221)
Asymmetric unit:
Ba  0.0000  0.0000  0.0000 (multiplicity 1)
Na  0.0000  0.0000  0.5000 (multiplicity 3)
Pb  0.5000  0.5000  0.5000 (multiplicity 1)


A relaxed structure of SrCa2Pr. Source: the Alexandria database, functional PBE-GGA.

- Formation energy: 0.07 eV per atom
- Total magnetic moment: 0.00 μB per formula unit
- Excess energy over the best structure of this formula in the dataset: 0.007 eV/atom

Cell lengths 3.9004, 3.9004, 38.6743 Å; angles 90.00, 90.00, 120.00 degrees
Space group R-3m (No. 166, hexagonal axes)
Asymmetric unit:
Sr  0.0000  0.0000  0.0000 (multiplicity 3)
Ca  0.0000  0.0000  0.2462 (multiplicity 6)
Pr  0.0000  0.0000  0.5000 (multiplicity 3)


A relaxed structure of LiAlTlSn. Source: the Alexandria database, functional PBE-GGA.

- Formation energy: 0.00 eV per atom
- Total magnetic moment: 0.00 μB per formula unit

Cell lengths 7.1502, 7.1502, 7.1502 Å; angles 90.00, 90.00, 90.00 degrees
Space group F-43m (No. 216)
Asymmetric unit:
Li  0.0000  0.0000  0.0000 (multiplicity 4)
Al  0.0000  0.0000  0.5000 (multiplicity 4)
Tl  0.2500  0.2500  0.7500 (multiplicity 4)
Sn  0.2500  0.2500  0.2500 (multiplicity 4)


A relaxed structure of InSnH. Source: the Alexandria database, functional PBE-GGA.

- Total magnetic moment: 0.00 μB per formula unit
- Excess energy over the best structure of this formula in the dataset: 0.219 eV/atom

Cell lengths 8.5388, 3.6119, 7.8859 Å; angles 90.00, 90.00, 90.00 degrees
Space group Pnma (No. 62)
Asymmetric unit:
In  0.0026  0.2500  0.2031 (multiplicity 4)
Sn  0.2149  0.2500  0.5434 (multiplicity 4)
H  0.2036  0.7500  0.4302 (multiplicity 4)


A relaxed structure of LaAlAg3. Source: the Alexandria database, functional PBE-GGA.

- Formation energy: -0.23 eV per atom
- Total magnetic moment: 0.00 μB per formula unit
- Excess energy over the best structure of this formula in the dataset: 0.000 eV/atom

Cell lengths 6.1835, 6.2060, 11.6500 Å; angles 90.00, 90.00, 90.00 degrees
Space group Fmm2 (No. 42)
Asymmetric unit:
La  0.0000  0.0000  0.0000 (multiplicity 4)
Al  0.0000  0.0000  0.6173 (multiplicity 4)
Ag  0.0000  0.0000  0.3966 (multiplicity 4)
Ag  0.2500  0.2500  0.2404 (multiplicity 8)


A relaxed structure of HoTmLuIn. Source: the Alexandria database, functional PBE-GGA.

- Formation energy: -0.13 eV per atom
- Total magnetic moment: 0.02 μB per formula unit

Cell lengths 7.6102, 7.6102, 7.6102 Å; angles 90.00, 90.00, 90.00 degrees
Space group F-43m (No. 216)
Asymmetric unit:
Ho  0.0000  0.0000  0.0000 (multiplicity 4)
Tm  0.0000  0.0000  0.5000 (multiplicity 4)
Lu  0.2500  0.2500  0.7500 (multiplicity 4)
In  0.2500  0.2500  0.2500 (multiplicity 4)


What is the formula in the seventh record?
LiAlTlSn